1.
# Ta3Au3N

An optimized crystal structure of Ta3Au3N (PBE, Alexandria via LeMat-Bulk).

The structure belongs to space group Fd-3m (No. 227, origin choice 2); the cell edges are 12.206, 12.206 and 12.206 Å and the angles 90.00°, 90.00° and 90.00°. The asymmetric unit holds Ta at (0.047, 0.375, 0.375), Au at (0.000, 0.000, 0.500), Au at (0.035, 0.035, 0.715) and N at (0.000, 0.000, 0.000).

The value obtained for the calculated density is 16.77 g/cm³. As for the uncorrected formation energy: -170 kJ/mol of formula units.



2.
# Tb2SmErTh

An optimized crystal structure of Tb2SmErTh (PBE, Alexandria via LeMat-Bulk).

The structure belongs to space group P2/c (No. 13); the cell edges are 8.548, 6.380 and 6.316 Å and the angles 90.00°, 97.89° and 90.00°. The asymmetric unit holds Tb at (0.186, 0.191, 0.292), Sm at (0.500, 0.500, 0.000), Er at (0.000, 0.324, 0.750) and Th at (0.500, 0.050, 0.750).

The value obtained for the calculated density is 8.44 g/cm³. The calculation puts the calculated formation energy at 31.9 kJ per mole of atoms.



3.
# DyIn2Hg5

An optimized crystal structure of DyIn2Hg5 (PBE, Alexandria via LeMat-Bulk).

The structure belongs to space group I4/mmm (No. 139); the cell edges are 4.704, 4.704 and 18.042 Å and the angles 90.00°, 90.00° and 90.00°. The asymmetric unit holds Dy at (0.000, 0.000, 0.000), In at (0.000, 0.000, 0.244), Hg at (0.000, 0.000, 0.500) and Hg at (0.000, 0.500, 0.124).

The value obtained for the calculated density is 11.61 g/cm³. The calculation puts the calculated formation energy at -16.7 kJ per mole of atoms.



4.
# PuMg5Tl6

An optimized crystal structure of PuMg5Tl6 (PBE, Alexandria via LeMat-Bulk).

The structure belongs to space group P2/m (No. 10); the cell edges are 5.123, 7.530 and 8.218 Å and the angles 90.00°, 107.02° and 90.00°. The asymmetric unit holds Pu at (0.000, 0.000, 0.000), Mg at (0.000, 0.500, 0.000), Mg at (0.330, 0.500, 0.654), Mg at (0.339, 0.000, 0.673), Tl at (0.166, 0.254, 0.337) and Tl at (0.500, 0.270, 0.000).

The value obtained for the calculated density is 8.72 g/cm³. The calculation puts the calculated formation energy at -4.0 kJ per mole of atoms.



5.
# Tl2TcAs

An optimized crystal structure of Tl2TcAs (PBE, Alexandria via LeMat-Bulk).

The structure belongs to space group Immm (No. 71); the cell edges are 3.591, 5.039 and 9.297 Å and the angles 90.00°, 90.00° and 90.00°. The asymmetric unit holds Tl at (0.000, 0.000, 0.243), Tc at (0.000, 0.500, 0.500) and As at (0.000, 0.500, 0.000).

The value obtained for the calculated density is 11.48 g/cm³. Its energy above the most stable polymorph in this dataset is 0.625 eV/atom. The calculation puts the calculated formation energy at 71.2 kJ per mole of atoms.



6.
# AlTl2Br

An optimized crystal structure of AlTl2Br (PBE, Alexandria via LeMat-Bulk).

The structure belongs to space group Pmmm (No. 47); the cell edges are 3.693, 5.297 and 5.899 Å and the angles 90.00°, 90.00° and 90.00°. The asymmetric unit holds Al at (0.000, 0.000, 0.000), Tl at (0.000, 0.500, 0.500), Tl at (0.500, 0.500, 0.000) and Br at (0.500, 0.000, 0.500).

The value obtained for the calculated density is 7.42 g/cm³. Its energy above the most stable polymorph in this dataset is 0.069 eV/atom. As for the uncorrected formation energy: -8 kJ/mol of formula units.



7.
# Tb2ZnPd4

An optimized crystal structure of Tb2ZnPd4 (PBE, Alexandria via LeMat-Bulk).

The structure belongs to space group I4/mmm (No. 139); the cell edges are 4.650, 4.650 and 14.236 Å and the angles 90.00°, 90.00° and 90.00°. The asymmetric unit holds Tb at (0.000, 0.000, 0.137), Zn at (0.000, 0.000, 0.500), Pd at (0.000, 0.000, 0.327) and Pd at (0.000, 0.500, 0.000).

The value obtained for the calculated density is 8.73 g/cm³. The calculation puts the calculated formation energy at -34.9 kJ per mole of atoms.



8.
# SiAgMo

An optimized crystal structure of SiAgMo (PBE, Alexandria via LeMat-Bulk).

The structure belongs to space group P3m1 (No. 156); the cell edges are 2.8564, 2.8564 and 6.7412 Å and the angles 90.00°, 90.00° and 120.00°. The asymmetric unit holds Si at (0.0000, 0.0000, 0.0000), Ag at (0.3333, 0.6667, 0.3351) and Mo at (0.6667, 0.3333, 0.7005).

The value obtained for the calculated density is 8.08 g/cm³. Its energy above the most stable polymorph in this dataset is 0.000 eV/atom. As for the uncorrected formation energy: 75 kJ/mol of formula units.